Density functional theory data (PBE-GGA) for a relaxed structure of Ta3Al2.

Results
Raw total energy (eV per atom): -8.547
Formation enthalpy at 0 K (meV/atom): 62
Size of the total moment (μB per formula unit): 0.00
Calculated volume (Å³ per cell): 362

```
data_Ta3Al2
_symmetry_space_group_name_H-M 'P n m a'
_symmetry_Int_Tables_number 62
_symmetry_space_group_name_Hall '-P 2ac 2n'
_cell_length_a 10.284
_cell_length_b 3.511
_cell_length_c 10.014
_cell_angle_alpha 90.00
_cell_angle_beta 90.00
_cell_angle_gamma 90.00
loop_
_atom_site_label
_atom_site_fract_x
_atom_site_fract_y
_atom_site_fract_z
_atom_site_occupancy
Ta1 0.037 0.250 0.102 1
Ta2 0.082 0.750 0.580 1
Ta3 0.160 0.250 0.779 1
Al1 0.088 0.750 0.307 1
Al2 0.227 0.750 0.993 1
```

Density functional theory data (PBE-GGA) for a relaxed structure of AcPa2Fe.

Results
Raw total energy (eV per atom): -7.616
Formation enthalpy at 0 K (meV/atom): 274
Size of the total moment (μB per formula unit): 0.00
Calculated volume (Å³ per cell): 344

```
data_AcPa2Fe
_symmetry_space_group_name_H-M 'R -3 m'
_symmetry_Int_Tables_number 166
_symmetry_space_group_name_Hall '-R 3 2"'
_cell_length_a 3.6511
_cell_length_b 3.6511
_cell_length_c 29.7864
_cell_angle_alpha 90.00
_cell_angle_beta 90.00
_cell_angle_gamma 120.00
loop_
_atom_site_label
_atom_site_fract_x
_atom_site_fract_y
_atom_site_fract_z
_atom_site_occupancy
Ac1 0.0000 0.0000 0.0000 1
Pa1 0.0000 0.0000 0.1161 1
Fe1 0.0000 0.0000 0.5000 1
```